DFT (PBE) results for an optimized crystal structure of NaLi4Lu.

Cell: 5.877 5.877 5.877 Å, 60.00 60.00 60.00°
Fractional coordinates of all 6 atoms:
Na (0.000, 0.000, 0.000)
Li (0.376, 0.376, 0.376)
Li (0.376, 0.376, 0.873)
Li (0.376, 0.873, 0.376)
Li (0.873, 0.376, 0.376)
Lu (0.750, 0.750, 0.750)

Results
The calculation puts the formation energy at 0.18 eV per atom. The total energy is -12.406 eV per cell. The value obtained for the density of states at the Fermi level is 5.205 states/eV/cell. The symmetry is F-43m, No. 216.